1.
First-principles (PBE-GGA) data for a relaxed Mg3Sc2Hg3 crystal, as listed in OQMD via LeMat-Bulk.

The structure belongs to space group P-6m2 (No. 187); the cell edges are 6.4254, 6.4254 and 4.7803 Å and the angles 90.00°, 90.00° and 120.00°. The inequivalent atoms are Mg at (0.1703, 0.3406, 0.0000), Sc at (0.0000, 0.0000, 0.5000), Sc at (0.6667, 0.3333, 0.0000) and Hg at (0.0008, 0.5004, 0.5000).

***

2.
First-principles (PBE-GGA) data for a relaxed Mg3Sc2Hg3 crystal, as listed in OQMD via LeMat-Bulk.

The structure belongs to space group Pm (No. 6); the cell edges are 6.100, 4.884 and 6.187 Å and the angles 90.00°, 113.78° and 90.00°. The inequivalent atoms are Mg at (0.000, 0.000, 0.000), Mg at (0.211, 0.500, 0.290), Mg at (0.491, 0.000, 0.988), Sc at (0.681, 0.500, 0.756), Sc at (0.991, 0.000, 0.504), Hg at (0.184, 0.500, 0.801), Hg at (0.480, 0.000, 0.481) and Hg at (0.717, 0.500, 0.257).

***

3.
First-principles (PBE-GGA) data for a relaxed Mg3Sc2Hg3 crystal, as listed in OQMD via LeMat-Bulk.

The structure belongs to space group Amm2 (No. 38); the cell edges are 4.956, 6.488 and 10.668 Å and the angles 90.00°, 90.00° and 90.00°. The inequivalent atoms are Mg at (0.000, 0.000, 0.000), Mg at (0.500, 0.237, 0.922), Sc at (0.000, 0.000, 0.514), Sc at (0.500, 0.000, 0.179), Hg at (0.000, 0.239, 0.263) and Hg at (0.500, 0.000, 0.660).

***

4.
First-principles (PBE-GGA) data for a relaxed MgSc2Hg5 crystal, as listed in OQMD via LeMat-Bulk.

The structure belongs to space group Amm2 (No. 38); the cell edges are 4.875, 6.609 and 10.641 Å and the angles 90.00°, 90.00° and 90.00°. The inequivalent atoms are Mg at (0.000, 0.000, 0.000), Sc at (0.000, 0.000, 0.486), Sc at (0.500, 0.000, 0.798), Hg at (0.000, 0.239, 0.741), Hg at (0.500, 0.000, 0.311) and Hg at (0.500, 0.242, 0.052).

***

5.
First-principles (PBE-GGA) data for a relaxed MgHgSe2 crystal, as listed in OQMD via LeMat-Bulk.

The structure belongs to space group P3m1 (No. 156); the cell edges are 4.3249, 4.3249 and 7.0169 Å and the angles 90.00°, 90.00° and 120.00°. The inequivalent atoms are Mg at (0.0000, 0.0000, 0.0000), Hg at (0.6667, 0.3333, 0.5100), Se at (0.0000, 0.0000, 0.3697) and Se at (0.6667, 0.3333, 0.8948).

***

6.
First-principles (PBE-GGA) data for a relaxed MgHg2Se3 crystal, as listed in OQMD via LeMat-Bulk.

The structure belongs to space group Cmcm (No. 63); the cell edges are 3.854, 13.529 and 10.860 Å and the angles 90.00°, 90.00° and 90.00°. The inequivalent atoms are Mg at (0.000, 0.223, 0.250), Hg at (0.000, 0.000, 0.000), Hg at (0.000, 0.488, 0.750), Se at (0.000, 0.129, 0.750) and Se at (0.000, 0.350, 0.572).

***

7.
First-principles (PBE-GGA) data for a relaxed MgZnHgSe3 crystal, as listed in OQMD via LeMat-Bulk.

The structure belongs to space group Cmcm (No. 63); the cell edges are 3.739, 13.454 and 11.847 Å and the angles 90.00°, 90.00° and 90.00°. The inequivalent atoms are Mg at (0.000, 0.212, 0.250), Zn at (0.000, 0.000, 0.000), Hg at (0.000, 0.495, 0.250), Se at (0.000, 0.151, 0.750) and Se at (0.000, 0.382, 0.575).

***

8.
First-principles (PBE-GGA) data for a relaxed MgZnHgSe3 crystal, as listed in OQMD via LeMat-Bulk.

The structure belongs to space group Cmcm (No. 63); the cell edges are 3.781, 12.741 and 11.911 Å and the angles 90.00°, 90.00° and 90.00°. The inequivalent atoms are Mg at (0.000, 0.233, 0.250), Zn at (0.000, 0.480, 0.750), Hg at (0.000, 0.000, 0.000), Se at (0.000, 0.108, 0.750) and Se at (0.000, 0.357, 0.591).

***

Number 1: uncorrected energy -2.499 eV/atom. Number 2: uncorrected energy -2.568 eV/atom. Number 3: uncorrected energy -2.496 eV/atom. Number 4: uncorrected energy -2.236 eV/atom. Number 5: uncorrected energy -2.923 eV/atom. Number 6: uncorrected energy -2.317 eV/atom. Number 7: uncorrected energy -2.629 eV/atom. Number 8: uncorrected energy -2.726 eV/atom.